! RuSeBr2 | Alexandria | GGA-PBE | optimized geometry; values from VASP
! symmetry	I-4m2, No. 119
! ΔE_f (raw)	891	meV per atom
! energy above the most stable polymorph in this dataset	1.081	eV per atom
! magnetization	0.342	μB/f.u.
! crystal system	tetragonal
&SYSTEM
  ibrav = 0, nat = 4, ntyp = 3
/
ATOMIC_SPECIES
Ru 101.07 Ru.upf
Se 78.96 Se.upf
Br 79.90 Br.upf
CELL_PARAMETERS angstrom
-2.396 2.396 3.413
2.396 -2.396 3.413
2.396 2.396 -3.413
ATOMIC_POSITIONS angstrom
Ru 0.000 0.000 0.000
Se 2.396 0.000 1.706
Br 0.000 0.000 3.413
Br 0.000 2.396 1.706